(1)
The following is a DFT calculation (PBE) of a relaxed KCa3Rh crystal.

## Properties
Crystal system: orthorhombic
M_tot, μB/cell: 0.00
Energy above the lowest structure with this stoichiometry, eV per atom: 0.305
V, Å³ per atom: 38.87

```
5
Lattice="3.707 0.000 0.000 0.000 3.820 6.863 0.000 -3.820 6.863" Properties=species:S:1:pos:R:3 pbc="T T T"
K 0.000 0.000 0.000
Ca 0.000 0.000 6.210
Ca 1.853 -1.860 10.070
Ca 1.853 1.860 10.070
Rh 1.853 0.000 8.263
```

---

(2)
The following is a DFT calculation (PBE) of a relaxed K2CaRh crystal.

## Properties
Crystal system: orthorhombic
M_tot, μB/cell: 0.00
E_tot, eV per atom: -2.295
V, Å³ per atom: 33.59

```
4
Lattice="3.873 0.000 0.000 0.000 5.645 0.000 0.000 0.000 6.146" Properties=species:S:1:pos:R:3 pbc="T T T"
K 0.000 0.000 1.399
K 0.000 0.000 4.747
Ca 1.936 2.823 3.073
Rh 1.936 2.823 0.000
```

---

- Look up the M_tot of the second one.
  0.00 μB/cell